## A
Compound: Mo3PdS
Source: the Alexandria database
Functional: PBE
Structure: optimized geometry

Structure (CIF):
```
data_Mo3PdS
_space_group_name_H-M_alt 'P m -3 m'
_space_group_IT_number 221
_space_group_name_Hall '-P 4 2 3'
_cell_length_a 4.401
_cell_length_b 4.401
_cell_length_c 4.401
_cell_angle_alpha 90.00
_cell_angle_beta 90.00
_cell_angle_gamma 90.00
loop_
_atom_site_label
_atom_site_type_symbol
_atom_site_fract_x
_atom_site_fract_y
_atom_site_fract_z
Mo1 Mo 0.000 0.000 0.500
Pd1 Pd 0.500 0.500 0.500
S1 S 0.000 0.000 0.000
```

Results
mass density = 8.3 Mg/m³
total moment = 0.00 μB/atom

## B
Compound: Mo3PdS
Source: the Alexandria database
Functional: PBE
Structure: optimized geometry

Structure (CIF):
```
data_Mo3PdS
_space_group_name_H-M_alt 'P m -3 m'
_space_group_IT_number 221
_space_group_name_Hall '-P 4 2 3'
_cell_length_a 4.750
_cell_length_b 4.750
_cell_length_c 4.750
_cell_angle_alpha 90.00
_cell_angle_beta 90.00
_cell_angle_gamma 90.00
loop_
_atom_site_label
_atom_site_type_symbol
_atom_site_fract_x
_atom_site_fract_y
_atom_site_fract_z
Mo1 Mo 0.000 0.000 0.500
Pd1 Pd 0.000 0.000 0.000
S1 S 0.500 0.500 0.500
```

Results
mass density = 6.6 Mg/m³
total moment = 0.00 μB/atom

On energetic grounds, A is preferred over the next structure by 153.4 kJ/mol of atoms.